Entry 1:
Density functional theory data (PBE-GGA) for crystalline CsYGe at its relaxed geometry.

a b c (Å): 5.2937 8.3522 5.2926
angles (deg): 90.00 90.00 90.00
Fractional positions:
1 Cs 0.0000 0.1193 0.0000
2 Cs 0.5000 0.8807 0.5000
3 Y 0.0000 0.4999 0.4989
4 Y 0.5000 0.5001 0.9989
5 Ge 0.0000 0.6549 0.9989
6 Ge 0.5000 0.3451 0.4989

Values from the calculation:
ρ: 4.18 g cm⁻³
ΔH_f (0 K): -35.9 kJ per mole of atoms



Entry 2:
Density functional theory data (PBE-GGA) for crystalline CsY2Ge2 at its relaxed geometry.

a b c (Å): 6.8929 6.8929 6.8929
angles (deg): 135.36 135.36 64.96
Fractional positions:
1 Cs 0.0000 0.0000 0.0000
2 Y 0.2500 0.7500 0.5000
3 Y 0.7500 0.2500 0.5000
4 Ge 0.3741 0.3741 0.0000
5 Ge 0.6259 0.6259 0.0000

Values from the calculation:
ρ: 4.75 g cm⁻³
ΔH_f (0 K): -24.0 kJ per mole of atoms



Entry 3:
Density functional theory data (PBE-GGA) for crystalline Cs2YGe at its relaxed geometry.

a b c (Å): 10.6630 10.6630 10.6630
angles (deg): 93.83 93.83 150.04
Fractional positions:
1 Cs 0.3750 0.2007 0.3257
2 Cs 0.7993 0.1250 0.1743
3 Cs 0.8750 0.0493 0.6743
4 Cs 0.9507 0.6250 0.8257
5 Y 0.2500 0.7500 0.5000
6 Y 0.5000 0.5000 0.0000
7 Ge 0.0000 0.0000 0.0000
8 Ge 0.7500 0.2500 0.5000

Values from the calculation:
ρ: 2.43 g cm⁻³
ΔH_f (0 K): 24.7 kJ per mole of atoms